A | Li2ZrPt: PBEsol geometry, meta-GGA SCAN.

abc: 3.394 3.391 6.291
angles: 90.00 90.04 90.00
Fractional positions:
Zr 0.500 0.500 0.697
Li 0.000 0.000 0.048
Li 0.500 0.500 0.249
Pt 0.000 0.000 0.506

Results
Its theoretical density is 6.9 g cm⁻³.

---

B | Li2ZrPt: PBEsol geometry, meta-GGA SCAN.

abc: 2.856 4.809 4.840
angles: 90.00 90.00 93.12
Fractional positions:
Pt 0.000 0.500 0.500
Zr 0.500 0.000 0.500
Li 0.808 0.721 0.000
Li 0.192 0.279 0.000

Results
Its theoretical density is 7.5 g cm⁻³.

---

We find A to be the most stable, with the next structure 44 meV/atom higher.

---

A | RbLiSb2Te: PBEsol geometry, meta-GGA SCAN.

abc: 5.117 5.117 5.445
angles: 90.00 90.00 90.00
Fractional positions:
Te 0.000 0.000 0.500
Sb 0.500 0.000 0.000
Sb 0.000 0.500 0.000
Rb 0.500 0.500 0.500
Li 0.000 0.000 0.000

Results
Its theoretical density is 5.4 g cm⁻³.

---

B | RbLiSb2Te: PBEsol geometry, meta-GGA SCAN.

abc: 5.948 5.948 6.137
angles: 90.00 90.00 90.00
Fractional positions:
Sb 0.000 0.500 0.000
Sb 0.500 0.000 0.000
Li 0.500 0.500 0.500
Rb 0.000 0.000 0.000
Te 0.000 0.000 0.500

Results
Its theoretical density is 3.5 g cm⁻³.

---

We find A to be the most stable, with the next structure 1123 meV/atom higher.

---

A | RbLi2Te2: PBEsol geometry, meta-GGA SCAN.

abc: 3.400 8.718 8.718
angles: 90.00 90.00 90.00
Fractional positions:
Te 0.500 0.668 0.832
Te 0.500 0.832 0.332
Te 0.500 0.332 0.168
Te 0.500 0.168 0.668
Li 0.000 0.881 0.619
Li 0.000 0.619 0.119
Li 0.000 0.119 0.381
Li 0.000 0.381 0.881
Rb 0.000 0.000 0.000
Rb 0.000 0.500 0.500

Results
Its theoretical density is 4.6 g cm⁻³.

---

B | RbLi2Te2: PBEsol geometry, meta-GGA SCAN.

abc: 4.770 4.770 7.043
angles: 109.79 109.79 90.00
Each line ends with the local moment (μB).
Fractional positions:
Li 0.250 0.750 0.500  0.00
Li 0.750 0.250 0.500  0.00
Te 0.635 0.635 0.270  -0.15
Te 0.365 0.365 0.730  -0.15
Rb 0.000 0.000 0.000  0.00

Results
Its theoretical density is 4.2 g cm⁻³.

---

We find B to be the most stable, with the next structure 70 meV/atom higher.

---

A | RbLi3Y: PBEsol geometry, meta-GGA SCAN.

abc: 6.086 6.086 6.086
angles: 90.00 90.00 90.00
Each line ends with the local moment (μB).
Fractional positions:
Li 0.000 0.500 0.000  0.04
Li 0.500 0.000 0.000  0.04
Li 0.000 0.000 0.500  0.04
Rb 0.500 0.500 0.500  0.00
Y 0.000 0.000 0.000  0.96

Results
Its theoretical density is 1.4 g cm⁻³.

---

B | RbLi3Y: PBEsol geometry, meta-GGA SCAN.

abc: 5.302 5.302 5.302
angles: 90.00 90.00 90.00
Fractional positions:
Rb 0.000 0.000 0.000
Li 0.000 0.500 0.000
Li 0.500 0.000 0.000
Li 0.000 0.000 0.500
Y 0.500 0.500 0.500

Results
Its theoretical density is 2.2 g cm⁻³.

---

We find A to be the most stable, with the next structure 45 meV/atom higher.

---

A | RbLiZn2: PBEsol geometry, meta-GGA SCAN.

abc: 5.367 5.367 5.367
angles: 60.00 60.00 60.00
Fractional positions:
Li 0.000 0.000 0.000
Zn 0.750 0.750 0.750
Zn 0.250 0.250 0.250
Rb 0.500 0.500 0.500

Results
Its theoretical density is 3.4 g cm⁻³.

---

B | RbLiZn2: PBEsol geometry, meta-GGA SCAN.

abc: 4.940 4.940 10.321
angles: 103.85 103.85 90.00
Fractional positions:
Zn 0.625 0.375 0.250
Zn 0.125 0.375 0.750
Zn 0.625 0.875 0.250
Zn 0.625 0.375 0.750
Rb 0.250 0.750 0.500
Rb 0.000 0.000 0.000
Li 0.500 0.500 0.000
Li 0.750 0.250 0.500

Results
Its theoretical density is 3.1 g cm⁻³.

---

We find B to be the most stable, with the next structure 173 meV/atom higher.

---

A | LiRe: PBEsol geometry, meta-GGA SCAN.

abc: 3.545 3.545 3.545
angles: 60.00 60.00 60.00
Each line ends with the local moment (μB).
Fractional positions:
Re 0.250 0.250 0.250  0.49
Li 0.000 0.000 0.000  -0.02

Results
Its theoretical density is 10.2 g cm⁻³.

---

B | LiRe: PBEsol geometry, meta-GGA SCAN.

abc: 2.614 4.106 5.534
angles: 90.00 90.00 90.00
Fractional positions:
Re 0.500 0.500 0.913
Re 0.000 0.000 0.087
Li 0.500 0.500 0.393
Li 0.000 0.000 0.607

Results
Its theoretical density is 10.8 g cm⁻³.

---

We find B to be the most stable, with the next structure 3130 meV/atom higher.